The following is a DFT calculation (GGA-PBE) of crystalline SiTe2Br at its relaxed geometry.

Cell: 10.6409 10.6409 10.6409 Å, 19.74 19.74 19.74°
Fractional coordinates of all 4 atoms:
1 Si 0.0000 0.0000 0.0000
2 Te 0.4912 0.4912 0.4912
3 Te 0.7164 0.7164 0.7164
4 Br 0.2768 0.2768 0.2768

Output
- M_tot: 0.00 μB per formula unit
- N(E_F): 2.80 states/eV/cell
- Space-group type: R3m
- Relative energy among the computed polymorphs: 0.192 eV per atom
- Energy relative to the elements, uncorrected: 0.18 eV/atom
- Density: 5.0 g cm⁻³